(1)
Here is an optimized crystal structure of BiAsPb2Se from the Alexandria database. Energies are from PBE-GGA.

The space group is P4/mmm (No. 123) and the conventional cell measures 6.065, 6.065 and 5.357 Å, with angles of 90.00, 90.00 and 90.00 degrees. The asymmetric unit holds Bi at (0.000, 0.000, 0.000), As at (0.500, 0.500, 0.500), Pb at (0.000, 0.500, 0.000) and Se at (0.000, 0.000, 0.500).

The value obtained for the total energy is -15.6 eV/f.u. Its density of states at the Fermi level is 0.880 states/eV per atom. As for the uncorrected formation energy: 0.7622 eV per atom.

(2)
Here is an optimized crystal structure of CeIn2Ag from the Alexandria database. Energies are from PBE-GGA.

The space group is R-3m (No. 166, hexagonal axes) and the conventional cell measures 4.8317, 4.8317 and 15.0030 Å, with angles of 90.00, 90.00 and 120.00 degrees. The asymmetric unit holds Ce at (0.0000, 0.0000, 0.0000), In at (0.0000, 0.0000, 0.2273) and Ag at (0.0000, 0.0000, 0.5000).

The value obtained for the total energy is -15.2 eV/f.u. Its density of states at the Fermi level is 1.835 states/eV per atom. The calculation puts the formation energy at -225 meV per atom.

(3)
Here is an optimized crystal structure of Pr2CdSn3 from the Alexandria database. Energies are from PBE-GGA.

The space group is Cmcm (No. 63) and the conventional cell measures 14.056, 9.275 and 5.727 Å, with angles of 90.00, 90.00 and 90.00 degrees. The asymmetric unit holds Pr at (0.143, 0.186, 0.250), Cd at (0.000, 0.399, 0.750), Sn at (0.000, 0.090, 0.750) and Sn at (0.183, 0.500, 0.000).

The value obtained for the total energy is -24.4 eV/f.u. Its density of states at the Fermi level is 0.697 states/eV per atom. The calculation puts the formation energy at -321 meV per atom.